Entry 1:
# Ac6ZnSn3

A relaxed structure of Ac6ZnSn3 (GGA-PBE, the Alexandria database).

Calculated values
Total magnetization in μB/f.u.: 0.00
Symmetry: No. 14

Cell lengths 6.7848, 9.4148, 12.0618 Å; angles 90.00, 91.35, 90.00 degrees
Positions (direct):
1 Sn 0.0000 0.0000 0.5000
2 Ac 0.6309 0.4505 0.2575
3 Ac 0.6220 0.1691 0.9296
4 Sn 0.4059 0.1157 0.2502
5 Ac 0.1309 0.0495 0.7575
6 Ac 0.8780 0.6691 0.5704
7 Sn 0.5000 0.5000 0.0000
8 Sn 0.5941 0.8843 0.7498
9 Ac 0.8691 0.9505 0.2425
10 Ac 0.3691 0.5495 0.7425
11 Ac 0.1114 0.3208 0.0654
12 Ac 0.1220 0.3309 0.4296
13 Sn 0.9059 0.3843 0.7502
14 Zn 0.5000 0.5000 0.5000
15 Ac 0.3780 0.8309 0.0704
16 Sn 0.0941 0.6157 0.2498
17 Ac 0.3886 0.8208 0.4346
18 Ac 0.8886 0.6792 0.9346
19 Zn 0.0000 0.0000 0.0000
20 Ac 0.6114 0.1792 0.5654

Entry 2:
# Ac2ZnSn2

A relaxed structure of Ac2ZnSn2 (GGA-PBE, the Alexandria database).

Calculated values
Total magnetization in μB/f.u.: 0.00
Symmetry: No. 12

Cell lengths 4.6500, 6.5705, 11.4150 Å; angles 79.30, 78.25, 69.28 degrees
Positions (direct):
1 Ac 0.3045 0.7448 0.6462
2 Ac 0.9096 0.2757 0.9051
3 Sn 0.6510 0.8333 0.8648
4 Zn 0.5633 0.1787 0.6947
5 Sn 0.9480 0.6919 0.4121
6 Sn 0.3490 0.1667 0.1352
7 Zn 0.4367 0.8213 0.3053
8 Ac 0.0904 0.7243 0.0949
9 Ac 0.6955 0.2552 0.3538
10 Sn 0.0520 0.3081 0.5879

Entry 3:
# Ac2Zn3Sn5

A relaxed structure of Ac2Zn3Sn5 (GGA-PBE, the Alexandria database).

Calculated values
Total magnetization in μB/f.u.: 0.00
Symmetry: No. 72

Cell lengths 7.0318, 9.6793, 9.6793 Å; angles 64.09, 68.70, 68.70 degrees
Positions (direct):
1 Zn 0.3787 0.4991 0.7434
2 Sn 0.7500 0.5000 0.5000
3 Zn 0.6213 0.5009 0.2566
4 Zn 0.7500 0.0000 0.0000
5 Ac 0.1215 0.6390 0.1180
6 Ac 0.8785 0.3610 0.8820
7 Sn 0.9886 0.2614 0.2614
8 Zn 0.2500 0.0000 0.0000
9 Sn 0.6133 0.7647 0.0086
10 Ac 0.3785 0.8820 0.3610
11 Zn 0.8787 0.7434 0.4991
12 Zn 0.1213 0.2566 0.5009
13 Sn 0.8867 0.9914 0.2353
14 Ac 0.6215 0.1180 0.6390
15 Sn 0.0114 0.7386 0.7386
16 Sn 0.2500 0.5000 0.5000
17 Sn 0.3867 0.2353 0.9914
18 Sn 0.1133 0.0086 0.7647
19 Sn 0.4886 0.2614 0.2614
20 Sn 0.5114 0.7386 0.7386

Entry 4:
# AcZn2Sn

A relaxed structure of AcZn2Sn (GGA-PBE, the Alexandria database).

Calculated values
Total magnetization in μB/f.u.: 0.00
Symmetry: No. 123

Cell lengths 3.7674, 3.7674, 7.0922 Å; angles 90.00, 90.00, 90.00 degrees
Positions (direct):
1 Zn 0.0000 0.0000 0.2040
2 Ac 0.5000 0.5000 0.5000
3 Sn 0.5000 0.5000 0.0000
4 Zn 0.0000 0.0000 0.7960

Entry 5:
# AcZn2Sn

A relaxed structure of AcZn2Sn (GGA-PBE, the Alexandria database).

Calculated values
Total magnetization in μB/f.u.: 0.00
Symmetry: No. 166

Cell lengths 4.6071, 4.6071, 6.1608 Å; angles 68.04, 68.04, 60.00 degrees
Positions (direct):
1 Zn 0.7769 0.7769 0.6692
2 Sn 0.5000 0.5000 0.5000
3 Zn 0.2231 0.2231 0.3308
4 Ac 0.0000 0.0000 0.0000

Entry 6:
# Ac3Zn4Sn4

A relaxed structure of Ac3Zn4Sn4 (GGA-PBE, the Alexandria database).

Calculated values
Total magnetization in μB/f.u.: 0.00
Symmetry: No. 71

Cell lengths 4.6092, 4.7680, 13.9701 Å; angles 99.83, 99.50, 90.00 degrees
Positions (direct):
1 Sn 0.9041 0.4041 0.8082
2 Zn 0.4549 0.4549 0.9099
3 Ac 0.0000 0.0000 0.0000
4 Ac 0.6451 0.1451 0.2901
5 Sn 0.7510 0.7510 0.5020
6 Sn 0.2490 0.2490 0.4980
7 Zn 0.8072 0.3072 0.6144
8 Zn 0.5451 0.5451 0.0901
9 Zn 0.1928 0.6928 0.3856
10 Sn 0.0959 0.5959 0.1918
11 Ac 0.3549 0.8549 0.7099

Entry 7:
# Ac4ZnSn8

A relaxed structure of Ac4ZnSn8 (GGA-PBE, the Alexandria database).

Calculated values
Total magnetization in μB/f.u.: 0.00
Symmetry: No. 25

Cell lengths 4.5688, 4.7308, 18.7982 Å; angles 90.00, 90.00, 90.00 degrees
Positions (direct):
1 Sn 0.5000 0.0000 0.5634
2 Ac 0.5000 0.5000 0.3952
3 Sn 0.0000 0.5000 0.9417
4 Zn 0.0000 0.0000 0.3235
5 Sn 0.0000 0.5000 0.2395
6 Sn 0.5000 0.5000 0.7525
7 Sn 0.0000 0.0000 0.4640
8 Ac 0.5000 0.0000 0.8908
9 Sn 0.5000 0.0000 0.2394
10 Ac 0.0000 0.0000 0.0974
11 Ac 0.0000 0.5000 0.6071
12 Sn 0.5000 0.5000 0.0435
13 Sn 0.0000 0.0000 0.7450

Entry 8:
# Ac2ZnSn2

A relaxed structure of Ac2ZnSn2 (GGA-PBE, the Alexandria database).

Calculated values
Total magnetization in μB/f.u.: 0.00
Symmetry: No. 36

Cell lengths 4.7737, 8.0662, 9.1206 Å; angles 90.00, 105.17, 90.00 degrees
Positions (direct):
1 Ac 0.2130 0.8989 0.4260
2 Sn 0.1641 0.4984 0.3281
3 Ac 0.7870 0.3989 0.5740
4 Sn 0.5712 0.9397 0.1424
5 Zn 0.5890 0.5720 0.1780
6 Ac 0.0254 0.2254 0.0509
7 Sn 0.4288 0.4397 0.8576
8 Sn 0.8359 0.9984 0.6719
9 Zn 0.4110 0.0720 0.8220
10 Ac 0.9746 0.7254 0.9491

Entry 9:
# Ac6ZnSn5

A relaxed structure of Ac6ZnSn5 (GGA-PBE, the Alexandria database).

Calculated values
Total magnetization in μB/f.u.: 0.00
Symmetry: No. 71

Cell lengths 5.9329, 9.6840, 10.1839 Å; angles 61.61, 73.06, 52.20 degrees
Positions (direct):
1 Ac 0.2421 0.2586 0.0000
2 Zn 0.0000 0.0000 0.0000
3 Ac 0.2540 0.9139 0.6641
4 Sn 0.5000 0.5000 0.0000
5 Sn 0.5000 0.8405 0.3191
6 Ac 0.2540 0.5780 0.3359
7 Sn 0.0000 0.6693 0.6615
8 Ac 0.7460 0.4220 0.6641
9 Sn 0.5000 0.1595 0.6809
10 Ac 0.7579 0.7414 0.0000
11 Ac 0.7460 0.0861 0.3359
12 Sn 0.0000 0.3307 0.3385

Entry 10:
# Ac2Zn2Sn3

A relaxed structure of Ac2Zn2Sn3 (GGA-PBE, the Alexandria database).

Calculated values
Total magnetization in μB/f.u.: 0.00
Symmetry: No. 12

Cell lengths 4.6637, 6.1915, 7.6052 Å; angles 106.26, 90.00, 112.12 degrees
Positions (direct):
1 Sn 0.6111 0.2222 0.4374
2 Sn 0.3889 0.7778 0.5626
3 Zn 0.8381 0.6762 0.7502
4 Zn 0.1619 0.3238 0.2498
5 Sn 0.5000 0.0000 0.0000
6 Ac 0.8594 0.7187 0.2143
7 Ac 0.1406 0.2813 0.7857

Entry 11:
# Ac2Zn6Sn

A relaxed structure of Ac2Zn6Sn (GGA-PBE, the Alexandria database).

Calculated values
Total magnetization in μB/f.u.: 0.00
Symmetry: No. 164

Cell lengths 6.0619, 6.1712, 6.1712 Å; angles 60.03, 90.00, 90.00 degrees
Positions (direct):
1 Zn 0.6447 0.6326 0.1836
2 Zn 0.3551 0.8164 0.8164
3 Zn 0.6447 0.1836 0.6326
4 Ac 0.1615 0.3334 0.3334
5 Sn 0.0000 0.0000 0.0000
6 Ac 0.8385 0.6666 0.6666
7 Zn 0.6449 0.1836 0.1836
8 Zn 0.3553 0.8164 0.3674
9 Zn 0.3553 0.3674 0.8164

Entry 12:
# Ac3Zn6Sn5

A relaxed structure of Ac3Zn6Sn5 (GGA-PBE, the Alexandria database).

Calculated values
Total magnetization in μB/f.u.: 0.00
Symmetry: No. 59

Cell lengths 4.6653, 10.7983, 13.7971 Å; angles 90.00, 90.00, 90.00 degrees
Positions (direct):
1 Sn 0.5000 0.4820 0.3540
2 Ac 0.0000 0.2471 0.6736
3 Sn 0.5000 0.1265 0.1656
4 Sn 0.0000 0.8735 0.6656
5 Zn 0.0000 0.0192 0.5000
6 Sn 0.5000 0.4820 0.6460
7 Zn 0.5000 0.9808 0.0000
8 Ac 0.0000 0.2471 0.3264
9 Zn 0.5000 0.0114 0.6512
10 Sn 0.0000 0.8735 0.3344
11 Zn 0.0000 0.9886 0.1512
12 Zn 0.0000 0.6199 0.3429
13 Sn 0.0000 0.5180 0.1460
14 Zn 0.0000 0.4799 0.5000
15 Sn 0.0000 0.8143 0.0000
16 Ac 0.5000 0.7529 0.1736
17 Zn 0.5000 0.0114 0.3488
18 Sn 0.5000 0.1857 0.5000
19 Zn 0.5000 0.3801 0.1571
20 Sn 0.5000 0.1265 0.8344
21 Sn 0.0000 0.5180 0.8540
22 Ac 0.5000 0.7529 0.8264
23 Ac 0.0000 0.2483 0.0000
24 Zn 0.0000 0.9886 0.8488
25 Zn 0.0000 0.6199 0.6571
26 Ac 0.5000 0.7517 0.5000
27 Zn 0.5000 0.3801 0.8429
28 Zn 0.5000 0.5201 0.0000

Entry 13:
# AcZn2Sn

A relaxed structure of AcZn2Sn (GGA-PBE, the Alexandria database).

Calculated values
Total magnetization in μB/f.u.: 0.00
Symmetry: No. 123

Cell lengths 4.6390, 4.7449, 4.7449 Å; angles 90.00, 90.00, 90.00 degrees
Positions (direct):
1 Sn 0.5000 0.0000 0.0000
2 Zn 0.0000 0.0000 0.5000
3 Ac 0.5000 0.5000 0.5000
4 Zn 0.0000 0.5000 0.0000

Entry 14:
# Ac2Zn2Sn3

A relaxed structure of Ac2Zn2Sn3 (GGA-PBE, the Alexandria database).

Calculated values
Total magnetization in μB/f.u.: 0.00
Symmetry: No. 63

Cell lengths 4.8628, 7.3583, 11.3112 Å; angles 90.00, 102.41, 90.00 degrees
Positions (direct):
1 Sn 0.4274 0.5513 0.8548
2 Zn 0.6930 0.5513 0.3860
3 Ac 0.9650 0.2500 0.9301
4 Sn 0.4274 0.9487 0.8548
5 Zn 0.3070 0.4487 0.6140
6 Zn 0.3070 0.0513 0.6140
7 Ac 0.8338 0.7500 0.6677
8 Sn 0.5726 0.4487 0.1452
9 Sn 0.5726 0.0513 0.1452
10 Sn 0.2106 0.7500 0.4211
11 Sn 0.7894 0.2500 0.5789
12 Ac 0.1662 0.2500 0.3323
13 Zn 0.6930 0.9487 0.3860
14 Ac 0.0350 0.7500 0.0699

Entry 15:
# Ac4ZnSn

A relaxed structure of Ac4ZnSn (GGA-PBE, the Alexandria database).

Calculated values
Total magnetization in μB/f.u.: 0.00
Symmetry: No. 123

Cell lengths 5.5073, 5.5079, 7.8746 Å; angles 89.97, 89.98, 90.00 degrees
Positions (direct):
1 Ac 0.5013 0.9976 0.7336
2 Sn 0.5014 0.4972 0.9982
3 Ac 0.0012 0.4972 0.2627
4 Ac 0.0015 0.4974 0.7336
5 Zn 0.0012 0.9975 0.4981
6 Ac 0.5013 0.9969 0.2627

Entry 16:
# Ac8ZnSn2

A relaxed structure of Ac8ZnSn2 (GGA-PBE, the Alexandria database).

Calculated values
Total magnetization in μB/f.u.: 0.00
Symmetry: No. 12

Cell lengths 5.5563, 7.5276, 10.8252 Å; angles 103.43, 104.87, 90.00 degrees
Positions (direct):
1 Zn 0.5000 0.0000 0.0000
2 Ac 0.7883 0.6772 0.5767
3 Ac 0.5911 0.4690 0.1822
4 Ac 0.2117 0.3228 0.4233
5 Ac 0.9816 0.2219 0.9633
6 Sn 0.8177 0.2458 0.6353
7 Ac 0.0184 0.7781 0.0367
8 Ac 0.6551 0.9904 0.3102
9 Sn 0.1823 0.7542 0.3647
10 Ac 0.3449 0.0096 0.6898
11 Ac 0.4089 0.5310 0.8178

Entry 17:
# AcZn2Sn2

A relaxed structure of AcZn2Sn2 (GGA-PBE, the Alexandria database).

Calculated values
Total magnetization in μB/f.u.: 0.00
Symmetry: No. 129

Cell lengths 4.8936, 4.8936, 10.4896 Å; angles 90.00, 90.00, 90.00 degrees
Positions (direct):
1 Ac 0.0000 0.5000 0.7558
2 Sn 0.0000 0.0000 0.5000
3 Zn 0.5000 0.0000 0.6246
4 Sn 0.5000 0.0000 0.8745
5 Sn 0.5000 0.5000 0.5000
6 Zn 0.0000 0.5000 0.3754
7 Ac 0.5000 0.0000 0.2442
8 Zn 0.0000 0.0000 0.0000
9 Zn 0.5000 0.5000 0.0000
10 Sn 0.0000 0.5000 0.1255

Entry 18:
# Ac3ZnSn2

A relaxed structure of Ac3ZnSn2 (GGA-PBE, the Alexandria database).

Calculated values
Total magnetization in μB/f.u.: 0.00
Symmetry: No. 15

Cell lengths 6.8393, 6.9286, 9.3103 Å; angles 102.73, 111.55, 90.00 degrees
Positions (direct):
1 Ac 0.0671 0.6196 0.3483
2 Zn 0.8385 0.7500 0.0000
3 Ac 0.9329 0.3804 0.6517
4 Sn 0.7531 0.0267 0.3070
5 Sn 0.5539 0.5267 0.3070
6 Ac 0.2813 0.1196 0.3483
7 Ac 0.3271 0.7500 0.0000
8 Sn 0.2469 0.9733 0.6930
9 Sn 0.4461 0.4733 0.6930
10 Ac 0.7187 0.8804 0.6517
11 Ac 0.6729 0.2500 0.0000
12 Zn 0.1615 0.2500 0.0000

Entry 19:
# Ac4Zn3Sn

A relaxed structure of Ac4Zn3Sn (GGA-PBE, the Alexandria database).

Calculated values
Total magnetization in μB/f.u.: 0.00
Symmetry: No. 51

Cell lengths 5.5923, 7.9706, 11.1852 Å; angles 90.00, 90.00, 90.00 degrees
Positions (direct):
1 Zn 0.5007 0.0000 0.2500
2 Ac 0.9995 0.7578 0.7500
3 Sn 0.0000 0.5000 0.0000
4 Ac 0.5000 0.7577 0.0000
5 Ac 0.0005 0.2422 0.2500
6 Zn 0.0000 0.0000 0.5000
7 Ac 0.0005 0.7578 0.2500
8 Sn 0.0000 0.5000 0.5000
9 Zn 0.5010 0.5000 0.2500
10 Zn 0.0000 0.0000 0.0000
11 Zn 0.4993 0.0000 0.7500
12 Zn 0.4990 0.5000 0.7500
13 Ac 0.5000 0.7577 0.5000
14 Ac 0.5000 0.2423 0.5000
15 Ac 0.5000 0.2423 0.0000
16 Ac 0.9995 0.2422 0.7500

Entry 20:
# AcZn4Sn

A relaxed structure of AcZn4Sn (GGA-PBE, the Alexandria database).

Calculated values
Total magnetization in μB/f.u.: 0.00
Symmetry: No. 216

Cell lengths 5.7129, 5.7129, 5.7129 Å; angles 60.00, 60.00, 60.00 degrees
Positions (direct):
1 Zn 0.6264 0.6264 0.1207
2 Sn 0.0000 0.0000 0.0000
3 Ac 0.2500 0.2500 0.2500
4 Zn 0.6264 0.6264 0.6264
5 Zn 0.1207 0.6264 0.6264
6 Zn 0.6264 0.1207 0.6264

Number 1: energy of formation -389 kJ/mol of formula units. Number 2: energy of formation -290 kJ/mol of formula units. Number 3: energy of formation -330 kJ/mol of formula units. Number 4: energy of formation -66 kJ/mol of formula units. Number 5: energy of formation -131 kJ/mol of formula units. Number 6: energy of formation -527 kJ/mol of formula units. Number 7: energy of formation -704 kJ/mol of formula units. Number 8: energy of formation -269 kJ/mol of formula units. Number 9: energy of formation -636 kJ/mol of formula units. Number 10: energy of formation -318 kJ/mol of formula units. Number 11: energy of formation -274 kJ/mol of formula units. Number 12: energy of formation -561 kJ/mol of formula units. Number 13: energy of formation -90 kJ/mol of formula units. Number 14: energy of formation -333 kJ/mol of formula units. Number 15: energy of formation -100 kJ/mol of formula units. Number 16: energy of formation -281 kJ/mol of formula units. Number 17: energy of formation -188 kJ/mol of formula units. Number 18: energy of formation -250 kJ/mol of formula units. Number 19: energy of formation -262 kJ/mol of formula units. Number 20: energy of formation -76 kJ/mol of formula units.